Record 1
First-principles (PBE) data for UCo4Hg after structural relaxation, as listed in Alexandria.

Unit cell a=4.9531 b=4.9531 c=4.9531 alpha=60.00 beta=60.00 gamma=60.00
Atoms (fractional coordinates):
U1 0.0000 0.0000 0.0000
Co1 0.1264 0.6245 0.6245
Co2 0.6245 0.1264 0.6245
Co3 0.6245 0.6245 0.1264
Co4 0.6245 0.6245 0.6245
Hg1 0.2500 0.2500 0.2500

Calculated values
* space group: F-43m, No. 216
* energy relative to the elements: -4 meV per atom
* total magnetic moment: 1.8 μB per formula unit

***

Record 2
First-principles (PBE) data for Tc2MoHPd after structural relaxation, as listed in Alexandria.

Unit cell a=3.9448 b=3.9448 c=3.9650 alpha=90.00 beta=90.00 gamma=90.00
Atoms (fractional coordinates):
Tc1 0.0000 0.5000 0.0000
Tc2 0.5000 0.0000 0.0000
Mo1 0.0000 0.0000 0.5000
H1 0.0000 0.0000 0.0000
Pd1 0.5000 0.5000 0.5000

Calculated values
* space group: P4/mmm, No. 123
* DFT total energy: -7.9813 eV per atom
* total magnetic moment: 0.0 μB per formula unit

***

Record 3
First-principles (PBE) data for Na2Mn2Au after structural relaxation, as listed in Alexandria.

Unit cell a=8.6221 b=8.6221 c=2.7198 alpha=90.00 beta=90.00 gamma=90.00
Atoms (fractional coordinates):
Na1 0.2064 0.2936 0.0000
Na2 0.2936 0.7936 0.0000
Na3 0.7064 0.2064 0.0000
Na4 0.7936 0.7064 0.0000
Mn1 0.0774 0.5774 0.5000
Mn2 0.4226 0.0774 0.5000
Mn3 0.5774 0.9226 0.5000
Mn4 0.9226 0.4226 0.5000
Au1 0.0000 0.0000 0.0000
Au2 0.5000 0.5000 0.0000

Calculated values
* space group: P4/mbm, No. 127
* excess energy over the best structure of this formula in the dataset: 418.5 meV/atom
* energy relative to the elements: 849 meV per atom
* total magnetic moment: 3.3 μB per formula unit

***

Record 4
First-principles (PBE) data for Li3ZrNp3Te8 after structural relaxation, as listed in Alexandria.

Unit cell a=8.6435 b=8.6478 c=8.6502 alpha=60.14 beta=60.04 gamma=89.96
Atoms (fractional coordinates):
Li1 0.0000 0.0000 0.0000
Li2 0.0000 0.0000 0.5000
Li3 0.0000 0.5000 0.0000
Zr1 0.5000 0.0000 0.5000
Np1 0.5000 0.0000 0.0000
Np2 0.5000 0.5000 0.0000
Np3 0.5000 0.5000 0.5000
Te1 0.2365 0.2454 0.0093
Te2 0.2502 0.2349 0.5075
Te3 0.2505 0.7578 0.5071
Te4 0.2514 0.7578 0.9843
Te5 0.7486 0.2422 0.0157
Te6 0.7495 0.2422 0.4929
Te7 0.7498 0.7651 0.4925
Te8 0.7635 0.7546 0.9907

Calculated values
* space group: P-1, No. 2
* DFT total energy: -6.0008 eV per atom
* total magnetic moment: 4.1 μB per formula unit

***

Record 5
First-principles (PBE) data for ScRuPb2 after structural relaxation, as listed in Alexandria.

Unit cell a=3.4181 b=4.5971 c=5.6993 alpha=90.00 beta=97.74 gamma=90.00
Atoms (fractional coordinates):
Sc1 0.0000 0.0000 0.0000
Ru1 0.5000 0.0000 0.5000
Pb1 0.3137 0.5000 0.7382
Pb2 0.6863 0.5000 0.2618

Calculated values
* space group: P2/m, No. 10
* excess energy over the best structure of this formula in the dataset: 223.5 meV/atom
* energy relative to the elements: 103 meV per atom
* total magnetic moment: 0.0 μB per formula unit

***

Record 6
First-principles (PBE) data for CdSiP2 after structural relaxation, as listed in Alexandria.

Unit cell a=5.3062 b=5.3062 c=5.0815 alpha=92.10 beta=92.10 gamma=36.40
Atoms (fractional coordinates):
Cd1 0.0000 0.0000 0.0000
Si1 0.5000 0.5000 0.5000
P1 0.1661 0.1661 0.4474
P2 0.8339 0.8339 0.5526

Calculated values
* space group: C2/m, No. 12
* excess energy over the best structure of this formula in the dataset: 532.2 meV/atom
* total magnetic moment: 0.0 μB per formula unit

***

Record 7
First-principles (PBE) data for LiMg2Te after structural relaxation, as listed in Alexandria.

Unit cell a=4.8180 b=4.8180 c=6.5179 alpha=105.92 beta=105.92 gamma=48.88
Atoms (fractional coordinates):
Li1 0.0000 0.0000 0.0000
Mg1 0.6587 0.6587 0.7429
Mg2 0.8887 0.8887 0.4689
Te1 0.3244 0.3244 0.1185

Calculated values
* space group: Cm, No. 8
* DFT total energy: -2.3883 eV per atom
* total magnetic moment: 0.0 μB per formula unit

***

Record 8
First-principles (PBE) data for CdFe after structural relaxation, as listed in Alexandria.

Unit cell a=4.5088 b=4.5088 c=4.5088 alpha=60.00 beta=60.00 gamma=60.00
Atoms (fractional coordinates):
Cd1 0.1250 0.1250 0.1250
Cd2 0.8750 0.8750 0.8750
Fe1 0.3750 0.3750 0.3750
Fe2 0.6250 0.6250 0.6250

Calculated values
* space group: Fd-3m, No. 227
* energy relative to the elements: 393 meV per atom
* total magnetic moment: 2.6 μB per formula unit

***

Record 9
First-principles (PBE) data for CeBAsRh3 after structural relaxation, as listed in Alexandria.

Unit cell a=6.6963 b=6.6963 c=5.8107 alpha=90.00 beta=90.00 gamma=129.64
Atoms (fractional coordinates):
Ce1 0.2434 0.7566 0.7500
Ce2 0.7566 0.2434 0.2500
B1 0.4928 0.5072 0.2500
B2 0.5072 0.4928 0.7500
As1 0.1241 0.8759 0.2500
As2 0.8759 0.1241 0.7500
Rh1 0.2471 0.2471 0.0000
Rh2 0.2471 0.2471 0.5000
Rh3 0.3203 0.6797 0.2500
Rh4 0.6797 0.3203 0.7500
Rh5 0.7529 0.7529 0.0000
Rh6 0.7529 0.7529 0.5000

Calculated values
* space group: Cmcm, No. 63
* energy relative to the elements: -684 meV per atom
* total magnetic moment: 0.6 μB per formula unit

***

Record 10
First-principles (PBE) data for CuSi2P after structural relaxation, as listed in Alexandria.

Unit cell a=2.5009 b=3.4136 c=6.6386 alpha=90.00 beta=90.00 gamma=90.00
Atoms (fractional coordinates):
Cu1 0.0000 0.0000 0.0000
Si1 0.5000 0.5000 0.2336
Si2 0.5000 0.5000 0.7664
P1 0.5000 0.0000 0.5000

Calculated values
* space group: Pmmm, No. 47
* DFT total energy: -4.9245 eV per atom
* total magnetic moment: 0.0 μB per formula unit

***

Record 11
First-principles (PBE) data for ThSc5In6 after structural relaxation, as listed in Alexandria.

Unit cell a=8.5684 b=8.5684 c=4.6637 alpha=105.71 beta=105.71 gamma=61.30
Atoms (fractional coordinates):
Th1 0.0000 0.0000 0.0000
Sc1 0.1651 0.1651 0.6652
Sc2 0.3286 0.3286 0.3285
Sc3 0.5000 0.5000 0.0000
Sc4 0.6714 0.6714 0.6715
Sc5 0.8349 0.8349 0.3348
In1 0.0853 0.5723 0.8286
In2 0.2633 0.7367 0.5000
In3 0.4277 0.9147 0.1714
In4 0.5723 0.0853 0.8286
In5 0.7367 0.2633 0.5000
In6 0.9147 0.4277 0.1714

Calculated values
* space group: C2/m, No. 12
* energy relative to the elements: -377 meV per atom
* total magnetic moment: 1.0 μB per formula unit

***

Record 12
First-principles (PBE) data for LaTb2PrEr5 after structural relaxation, as listed in Alexandria.

Unit cell a=9.8472 b=9.8472 c=9.8472 alpha=127.10 beta=127.10 gamma=78.08
Atoms (fractional coordinates):
La1 0.2500 0.2500 0.0000
La2 0.7500 0.7500 0.0000
Tb1 0.1162 0.6162 0.7324
Tb2 0.3838 0.1162 0.5000
Tb3 0.6162 0.8838 0.5000
Tb4 0.8838 0.3838 0.2676
Pr1 0.2500 0.7500 0.5000
Pr2 0.7500 0.2500 0.5000
Er1 0.0000 0.0000 0.0000
Er2 0.0724 0.1634 0.5000
Er3 0.1634 0.6634 0.0911
Er4 0.3366 0.4276 0.5000
Er5 0.4276 0.9276 0.0911
Er6 0.5000 0.5000 0.0000
Er7 0.5724 0.0724 0.9089
Er8 0.6634 0.5724 0.5000
Er9 0.8366 0.3366 0.9089
Er10 0.9276 0.8366 0.5000

Calculated values
* space group: I4/mcm, No. 140
* energy relative to the elements: 265 meV per atom
* total magnetic moment: 0.0 μB per formula unit

***

Record 13
First-principles (PBE) data for PrCu4Ni2 after structural relaxation, as listed in Alexandria.

Unit cell a=5.1425 b=5.1425 c=5.1425 alpha=103.28 beta=103.28 gamma=122.72
Atoms (fractional coordinates):
Pr1 0.0000 0.0000 0.0000
Cu1 0.3069 0.3069 0.6137
Cu2 0.3069 0.6931 0.0000
Cu3 0.6931 0.3069 0.0000
Cu4 0.6931 0.6931 0.3863
Ni1 0.2500 0.7500 0.5000
Ni2 0.7500 0.2500 0.5000

Calculated values
* space group: I4/mmm, No. 139
* excess energy over the best structure of this formula in the dataset: 0.0 meV/atom
* energy relative to the elements: -116 meV per atom
* total magnetic moment: 0.0 μB per formula unit

***

Record 14
First-principles (PBE) data for Li8InHg6 after structural relaxation, as listed in Alexandria.

Unit cell a=7.5531 b=7.5531 c=7.5531 alpha=58.80 beta=58.80 gamma=58.80
Atoms (fractional coordinates):
Li1 0.0998 0.0998 0.0998
Li2 0.1543 0.3309 0.6455
Li3 0.3309 0.6455 0.1543
Li4 0.3545 0.8457 0.6691
Li5 0.6455 0.1543 0.3309
Li6 0.6691 0.3545 0.8457
Li7 0.8457 0.6691 0.3545
Li8 0.9002 0.9002 0.9002
In1 0.5000 0.5000 0.5000
Hg1 0.0037 0.7904 0.5150
Hg2 0.2096 0.4851 0.9963
Hg3 0.4850 0.9963 0.2096
Hg4 0.5150 0.0037 0.7904
Hg5 0.7904 0.5150 0.0037
Hg6 0.9963 0.2096 0.4850

Calculated values
* space group: R-3, No. 148
* energy relative to the elements: -268 meV per atom
* total magnetic moment: 0.0 μB per formula unit

***

Record 15
First-principles (PBE) data for Pr3Dy2Tm3 after structural relaxation, as listed in Alexandria.

Unit cell a=8.6581 b=8.6581 c=6.0363 alpha=109.08 beta=109.08 gamma=38.56
Atoms (fractional coordinates):
Pr1 0.0000 0.0000 0.0000
Pr2 0.1356 0.1356 0.7005
Pr3 0.8644 0.8644 0.2995
Dy1 0.2501 0.2501 0.3195
Dy2 0.7499 0.7499 0.6805
Tm1 0.3676 0.3676 0.9188
Tm2 0.5000 0.5000 0.5000
Tm3 0.6324 0.6324 0.0812

Calculated values
* space group: C2/m, No. 12
* excess energy over the best structure of this formula in the dataset: 65.0 meV/atom
* energy relative to the elements: 90 meV per atom
* total magnetic moment: 0.0 μB per formula unit

***

Record 16
First-principles (PBE) data for CaTb4Y after structural relaxation, as listed in Alexandria.

Unit cell a=8.9395 b=8.9395 c=6.3245 alpha=96.70 beta=96.70 gamma=23.46
Atoms (fractional coordinates):
Ca1 0.0000 0.0000 0.0000
Tb1 0.1685 0.1685 0.3927
Tb2 0.3280 0.3280 0.1134
Tb3 0.6720 0.6720 0.8866
Tb4 0.8315 0.8315 0.6073
Y1 0.5000 0.5000 0.5000

Calculated values
* space group: C2/m, No. 12
* excess energy over the best structure of this formula in the dataset: 0.0 meV/atom
* energy relative to the elements: 56 meV per atom
* total magnetic moment: 0.0 μB per formula unit

***

Record 17
First-principles (PBE) data for HgTeAs2 after structural relaxation, as listed in Alexandria.

Unit cell a=3.1848 b=3.1848 c=9.7890 alpha=90.00 beta=90.00 gamma=112.05
Atoms (fractional coordinates):
Hg1 0.0000 0.0000 0.0000
Te1 0.0000 0.0000 0.5000
As1 0.5000 0.5000 0.2445
As2 0.5000 0.5000 0.7555

Calculated values
* space group: Cmmm, No. 65
* excess energy over the best structure of this formula in the dataset: 351.2 meV/atom
* total magnetic moment: 0.0 μB per formula unit

***

Record 18
First-principles (PBE) data for LuScAlAu after structural relaxation, as listed in Alexandria.

Unit cell a=4.9272 b=4.9272 c=4.9272 alpha=60.00 beta=60.00 gamma=60.00
Atoms (fractional coordinates):
Lu1 0.0000 0.0000 0.0000
Sc1 0.5000 0.5000 0.5000
Al1 0.7500 0.7500 0.7500
Au1 0.2500 0.2500 0.2500

Calculated values
* space group: F-43m, No. 216
* energy relative to the elements: -580 meV per atom
* total magnetic moment: 0.0 μB per formula unit

***

Record 19
First-principles (PBE) data for Er2TeN after structural relaxation, as listed in Alexandria.

Unit cell a=7.2195 b=7.2195 c=7.2195 alpha=29.71 beta=29.71 gamma=29.71
Atoms (fractional coordinates):
Er1 0.0000 0.0000 0.0000
Er2 0.2110 0.2110 0.2110
Te1 0.7714 0.7714 0.7714
N1 0.6010 0.6010 0.6010

Calculated values
* space group: R3m, No. 160
* excess energy over the best structure of this formula in the dataset: 7.6 meV/atom
* total magnetic moment: 0.0 μB per formula unit

***

Record 20
First-principles (PBE) data for VIn after structural relaxation, as listed in Alexandria.

Unit cell a=4.6457 b=4.6457 c=5.3337 alpha=90.00 beta=90.00 gamma=120.00
Atoms (fractional coordinates):
V1 0.3333 0.6667 0.2500
V2 0.6667 0.3333 0.7500
In1 0.3333 0.6667 0.7500
In2 0.6667 0.3333 0.2500

Calculated values
* space group: P6_3/mmc, No. 194
* energy relative to the elements: 1216 meV per atom
* total magnetic moment: 0.0 μB per formula unit

***

Record 21
First-principles (PBE) data for ScGaSb2As after structural relaxation, as listed in Alexandria.

Unit cell a=5.5130 b=5.5130 c=4.9687 alpha=90.00 beta=90.00 gamma=90.00
Atoms (fractional coordinates):
Sc1 0.0000 0.0000 0.0000
Ga1 0.5000 0.5000 0.0000
Sb1 0.0000 0.5000 0.5000
Sb2 0.5000 0.0000 0.5000
As1 0.0000 0.0000 0.5000

Calculated values
* space group: P4/mmm, No. 123
* DFT total energy: -4.2055 eV per atom
* total magnetic moment: 0.0 μB per formula unit

***

Record 22
First-principles (PBE) data for PaSbAu3 after structural relaxation, as listed in Alexandria.

Unit cell a=13.9581 b=13.9581 c=4.8078 alpha=90.00 beta=90.00 gamma=166.44
Atoms (fractional coordinates):
Pa1 0.0744 0.9256 0.7500
Pa2 0.9256 0.0744 0.2500
Sb1 0.2117 0.7883 0.2500
Sb2 0.7883 0.2117 0.7500
Au1 0.3230 0.6770 0.2500
Au2 0.3774 0.6226 0.7500
Au3 0.4762 0.5238 0.7500
Au4 0.5238 0.4762 0.2500
Au5 0.6226 0.3774 0.2500
Au6 0.6770 0.3230 0.7500

Calculated values
* space group: Cmcm, No. 63
* DFT total energy: -4.9304 eV per atom
* total magnetic moment: 1.2 μB per formula unit

***

Record 23
First-principles (PBE) data for BaZnTeN2 after structural relaxation, as listed in Alexandria.

Unit cell a=4.6550 b=4.6550 c=5.3510 alpha=90.00 beta=90.00 gamma=90.00
Atoms (fractional coordinates):
Ba1 0.0000 0.0000 0.0000
Zn1 0.5000 0.5000 0.5000
Te1 0.5000 0.5000 0.0000
N1 0.0000 0.5000 0.5000
N2 0.5000 0.0000 0.5000

Calculated values
* space group: P4/mmm, No. 123
* excess energy over the best structure of this formula in the dataset: 0.0 meV/atom
* total magnetic moment: 3.9 μB per formula unit

***

Record 24
First-principles (PBE) data for SnSeCl3 after structural relaxation, as listed in Alexandria.

Unit cell a=5.3642 b=5.3642 c=5.3642 alpha=90.00 beta=90.00 gamma=90.00
Atoms (fractional coordinates):
Sn1 0.0000 0.0000 0.0000
Se1 0.5000 0.5000 0.5000
Cl1 0.0000 0.0000 0.5000
Cl2 0.0000 0.5000 0.0000
Cl3 0.5000 0.0000 0.0000

Calculated values
* space group: Pm-3m, No. 221
* excess energy over the best structure of this formula in the dataset: 0.0 meV/atom
* total magnetic moment: 2.5 μB per formula unit

***

Record 25
First-principles (PBE) data for AlCd3 after structural relaxation, as listed in Alexandria.

Unit cell a=6.3970 b=6.3970 c=6.3970 alpha=153.80 beta=130.04 gamma=57.27
Atoms (fractional coordinates):
Al1 0.0000 0.0000 0.0000
Cd1 0.2357 0.7357 0.5000
Cd2 0.5000 0.5000 0.0000
Cd3 0.7643 0.2643 0.5000

Calculated values
* space group: Immm, No. 71
* energy relative to the elements: 107 meV per atom
* total magnetic moment: 0.0 μB per formula unit